Version w
MnNbZn2O | GGA+U | relaxed

* density: 6.31 g/cm3
* crystal system: tetragonal
* spin magnetization: 2.438 μB per formula unit
* space group: No. 123

Cell: 4.512 3.809 4.512 Å, 90.00 90.00 90.00°
Fractional coordinates of all 5 atoms:
Nb1 0.500 0.500 0.500
Mn1 0.000 0.500 0.000
Zn1 0.000 0.000 0.500
Zn2 0.500 0.000 0.000
O1 0.000 0.000 0.000



Version x
MnNbZn2O | GGA+U | relaxed

* density: 5.97 g/cm3
* crystal system: tetragonal
* spin magnetization: 1.432 μB per formula unit
* space group: No. 123

Cell: 4.924 3.381 4.924 Å, 90.00 90.00 90.00°
Fractional coordinates of all 5 atoms:
Nb1 0.500 0.500 0.500
Mn1 0.000 0.000 0.000
Zn1 0.000 0.000 0.500
Zn2 0.500 0.000 0.000
O1 0.000 0.500 0.000



Out of the structures above, which one is the least stable? Solution: version x.